# 1
NiB2Rh PBE relaxed; symmetry = R-3m; formation energy = 0.017 eV per atom; mass density = 8.218 g/cm3; size of the total moment = 0.00 μB/atom; energy above the lowest structure with this stoichiometry = 0 meV/atom
1.0
1.714 0.990 3.637
-1.714 0.990 3.637
0.000 -1.979 3.637
Ni B Rh
1 2 1
direct
0.000 0.000 0.000 Ni
0.287 0.287 0.287 B
0.713 0.713 0.713 B
0.500 0.500 0.500 Rh

# 2
Ca3Cu2Si3O12 PBE relaxed; E_tot = -6.797 eV per atom; symmetry = Ia-3d; mass density = 3.876 g/cm3; size of the total moment = 0.20 μB/atom
1.0
-6.076 6.076 6.076
6.076 -6.076 6.076
6.076 6.076 -6.076
Ca Cu Si O
12 8 12 48
direct
0.125 0.250 0.375 Ca
0.125 0.375 0.750 Ca
0.250 0.375 0.125 Ca
0.250 0.875 0.625 Ca
0.375 0.125 0.250 Ca
0.375 0.750 0.125 Ca
0.625 0.250 0.875 Ca
0.625 0.875 0.750 Ca
0.750 0.125 0.375 Ca
0.750 0.625 0.875 Ca
0.875 0.625 0.250 Ca
0.875 0.750 0.625 Ca
0.000 0.000 0.000 Cu
0.000 0.000 0.500 Cu
0.000 0.500 0.000 Cu
0.000 0.500 0.500 Cu
0.500 0.000 0.000 Cu
0.500 0.000 0.500 Cu
0.500 0.500 0.000 Cu
0.500 0.500 0.500 Cu
0.125 0.750 0.875 Si
0.125 0.875 0.250 Si
0.250 0.125 0.875 Si
0.250 0.625 0.375 Si
0.375 0.250 0.625 Si
0.375 0.625 0.750 Si
0.625 0.375 0.250 Si
0.625 0.750 0.375 Si
0.750 0.375 0.625 Si
0.750 0.875 0.125 Si
0.875 0.125 0.750 Si
0.875 0.250 0.125 Si
0.010 0.205 0.117 O
0.010 0.305 0.893 O
0.088 0.705 0.695 O
0.088 0.883 0.393 O
0.107 0.617 0.412 O
0.107 0.990 0.695 O
0.117 0.010 0.205 O
0.117 0.607 0.912 O
0.195 0.205 0.588 O
0.195 0.490 0.607 O
0.205 0.117 0.010 O
0.205 0.588 0.195 O
0.295 0.305 0.912 O
0.295 0.490 0.383 O
0.305 0.893 0.010 O
0.305 0.912 0.295 O
0.383 0.295 0.490 O
0.383 0.588 0.893 O
0.393 0.088 0.883 O
0.393 0.805 0.510 O
0.412 0.107 0.617 O
0.412 0.805 0.795 O
0.490 0.383 0.295 O
0.490 0.607 0.195 O
0.510 0.393 0.805 O
0.510 0.617 0.705 O
0.588 0.195 0.205 O
0.588 0.893 0.383 O
0.607 0.195 0.490 O
0.607 0.912 0.117 O
0.617 0.412 0.107 O
0.617 0.705 0.510 O
0.695 0.088 0.705 O
0.695 0.107 0.990 O
0.705 0.510 0.617 O
0.705 0.695 0.088 O
0.795 0.412 0.805 O
0.795 0.883 0.990 O
0.805 0.510 0.393 O
0.805 0.795 0.412 O
0.883 0.393 0.088 O
0.883 0.990 0.795 O
0.893 0.010 0.305 O
0.893 0.383 0.588 O
0.912 0.117 0.607 O
0.912 0.295 0.305 O
0.990 0.695 0.107 O
0.990 0.795 0.883 O

# 3
CeSm3Ho2S6 PBE relaxed; E_tot = -6.517 eV per atom; symmetry = C2/m; mass density = 6.971 g/cm3; size of the total moment = 0.05 μB/atom
1.0
3.431 -5.958 0.000
3.431 5.958 0.000
-2.306 0.000 6.486
Ce Sm Ho S
1 3 2 6
direct
0.000 0.000 0.000 Ce
0.166 0.834 0.500 Sm
0.500 0.500 0.500 Sm
0.834 0.166 0.500 Sm
0.333 0.667 0.000 Ho
0.667 0.333 0.000 Ho
0.081 0.421 0.243 S
0.260 0.260 0.759 S
0.421 0.081 0.243 S
0.579 0.919 0.757 S
0.740 0.740 0.241 S
0.919 0.579 0.757 S

# 4
Ti2GaHgPb PBE relaxed; symmetry = P4/mmm; formation energy = 0.644 eV per atom; mass density = 7.625 g/cm3; size of the total moment = 0.00 μB/atom
1.0
4.851 0.000 0.000
0.000 4.851 0.000
0.000 0.000 5.304
Ti Ga Hg Pb
2 1 1 1
direct
0.000 0.500 0.000 Ti
0.500 0.000 0.000 Ti
0.000 0.000 0.000 Ga
0.500 0.500 0.500 Hg
0.000 0.000 0.500 Pb

# 5
MnPtAu2 PBE relaxed; symmetry = I-4m2; formation energy = -0.159 eV per atom; mass density = 16.186 g/cm3; size of the total moment = 1.10 μB/atom
1.0
-2.023 2.023 4.038
2.023 -2.023 4.038
2.023 2.023 -4.038
Mn Pt Au
1 1 2
direct
0.000 0.000 0.000 Mn
0.750 0.250 0.500 Pt
0.250 0.750 0.500 Au
0.500 0.500 0.000 Au

# 6
MgBe4Ru PBE relaxed; symmetry = F-43m; formation energy = -0.170 eV per atom; mass density = 4.349 g/cm3; size of the total moment = 0.00 μB/atom
1.0
0.000 3.135 3.135
3.135 0.000 3.135
3.135 3.135 0.000
Mg Be Ru
1 4 1
direct
0.000 0.000 0.000 Mg
0.132 0.623 0.623 Be
0.623 0.132 0.623 Be
0.623 0.623 0.132 Be
0.623 0.623 0.623 Be
0.250 0.250 0.250 Ru

# 7
SrIn3Bi4 PBE relaxed; symmetry = C2/m; formation energy = -0.109 eV per atom; mass density = 8.111 g/cm3; size of the total moment = 0.00 μB/atom
1.0
7.827 -2.959 0.000
7.827 2.959 0.000
-2.236 0.000 5.604
Sr In Bi
1 3 4
direct
0.000 0.000 0.000 Sr
0.370 0.370 0.861 In
0.500 0.500 0.500 In
0.630 0.630 0.139 In
0.149 0.149 0.641 Bi
0.242 0.242 0.236 Bi
0.758 0.758 0.764 Bi
0.851 0.851 0.359 Bi

# 8
ZrZnHg PBE relaxed; symmetry = Pmmm; formation energy = -0.162 eV per atom; mass density = 10.119 g/cm3; size of the total moment = 0.00 μB/atom; energy above the lowest structure with this stoichiometry = 8 meV/atom
1.0
3.183 0.000 0.000
0.000 4.574 0.000
0.000 0.000 8.051
Zr Zn Hg
2 2 2
direct
0.000 0.000 0.000 Zr
0.000 0.500 0.500 Zr
0.500 0.000 0.345 Zn
0.500 0.000 0.655 Zn
0.500 0.500 0.176 Hg
0.500 0.500 0.824 Hg

# 9
CaRe PBE relaxed; symmetry = Pmmn; formation energy = 0.489 eV per atom; mass density = 7.079 g/cm3; size of the total moment = 0.00 μB/atom; energy above the lowest structure with this stoichiometry = 187 meV/atom
1.0
3.182 0.000 0.000
0.000 3.963 0.000
0.000 0.000 8.419
Ca Re
2 2
direct
0.250 0.250 0.197 Ca
0.750 0.750 0.803 Ca
0.250 0.750 0.482 Re
0.750 0.250 0.518 Re

# 10
CuNiSe2 PBE relaxed; E_tot = -4.267 eV per atom; symmetry = P4mm; mass density = 6.419 g/cm3; size of the total moment = 0.00 μB/atom
1.0
3.259 0.000 0.000
0.000 3.259 0.000
0.000 0.000 6.824
Cu Ni Se
1 1 2
direct
0.000 0.000 0.000 Cu
0.500 0.500 0.218 Ni
0.000 0.000 0.359 Se
0.500 0.500 0.849 Se

# 11
PmNd3Sn2 PBE relaxed; symmetry = R-3c; formation energy = -0.260 eV per atom; mass density = 6.518 g/cm3; size of the total moment = 0.00 μB/atom; energy above the lowest structure with this stoichiometry = 317 meV/atom
1.0
4.026 2.325 7.396
-4.026 2.325 7.396
0.000 -4.649 7.396
Pm Nd Sn
2 6 4
direct
0.000 0.000 0.000 Pm
0.500 0.500 0.500 Pm
0.026 0.750 0.474 Nd
0.250 0.526 0.974 Nd
0.474 0.026 0.750 Nd
0.526 0.974 0.250 Nd
0.750 0.474 0.026 Nd
0.974 0.250 0.526 Nd
0.145 0.145 0.145 Sn
0.355 0.355 0.355 Sn
0.645 0.645 0.645 Sn
0.855 0.855 0.855 Sn

# 12
SbOsCl2 PBE relaxed; symmetry = P4/mmm; mass density = 6.164 g/cm3; size of the total moment = 0.77 μB/atom; energy above the lowest structure with this stoichiometry = 807 meV/atom
1.0
3.047 0.000 0.000
0.000 3.047 0.000
0.000 0.000 11.110
Sb Os Cl
1 1 2
direct
0.000 0.000 0.000 Sb
0.000 0.000 0.500 Os
0.500 0.500 0.351 Cl
0.500 0.500 0.649 Cl

Question: The highest size of the total moment belongs to which entry?
Answer: MnPtAu2